Material: Cs2Sn2Se2S
Method: DFT, GGA-PBE
State: optimized geometry

extended XYZ file:
```
7
Lattice="4.174 0.001 0.003 2.079 6.810 2.075 -0.010 3.070 9.927" Properties=species:S:1:pos:R:3 pbc="T T T"
Cs 2.078 2.751 7.015
Cs 4.165 7.130 4.990
Sn 4.164 5.658 9.736
Sn 2.079 4.223 2.270
Se 4.165 3.676 4.017
Se 2.078 6.205 7.989
S 0.000 0.000 0.000
```

Values from the calculation:
* volume: 36.5 Å³ per atom
* E_form (uncorrected): -0.7975 eV per atom
* E: -26.392 eV/cell
* SG: No. 12

=====

Material: CsThSeS
Method: DFT, GGA-PBE
State: optimized geometry

extended XYZ file:
```
4
Lattice="-0.422 -1.626 -3.845 0.147 -2.531 3.342 -8.271 2.405 2.186" Properties=species:S:1:pos:R:3 pbc="T T T"
Cs -3.353 -1.665 -1.648
Th -7.175 0.202 2.564
Se -0.446 -2.409 2.924
S -5.810 0.416 0.033
```

Values from the calculation:
* volume: 32.6 Å³ per atom
* E_form (uncorrected): -1.5477 eV per atom
* E: -22.076 eV/cell
* D(E_F): 2.945 states/eV/cell
* SG: No. 160